Density functional theory data (SCAN) for a crystal of Ti3VSn2P6O24 relaxed with PBEsol.

POSCAR file:
```
Ti3VSn2P6O24
1.0
4.2472 2.4521 7.5940
-4.2472 2.4521 7.5940
0.0000 -4.9043 7.5940
Ti V Sn P O
3 1 2 6 24
direct
0.0000 0.0000 0.0000
0.2085 0.2085 0.2085
0.5067 0.5067 0.5067
0.7032 0.7032 0.7032
0.3652 0.3652 0.3652
0.8389 0.8389 0.8389
0.1062 0.8183 0.3880
0.3193 0.6038 0.8938
0.3880 0.1062 0.8183
0.6038 0.8938 0.3193
0.8183 0.3880 0.1062
0.8938 0.3193 0.6038
0.0792 0.2635 0.4402
0.0862 0.8434 0.2178
0.1502 0.7931 0.9039
0.1528 0.9757 0.3536
0.2178 0.0862 0.8434
0.2635 0.4402 0.0792
0.2711 0.6233 0.4336
0.3473 0.5760 0.7237
0.3536 0.1528 0.9757
0.4336 0.2711 0.6233
0.4402 0.0792 0.2635
0.4987 0.6013 0.8757
0.5667 0.9187 0.8110
0.5760 0.7237 0.3473
0.6013 0.8757 0.4987
0.6233 0.4336 0.2711
0.7237 0.3473 0.5760
0.7931 0.9039 0.1502
0.8110 0.5667 0.9187
0.8434 0.2178 0.0862
0.8757 0.4987 0.6013
0.9039 0.1502 0.7931
0.9187 0.8110 0.5667
0.9757 0.3536 0.1528
```

Calculated values
Calculated volume: 13.2 Å³/atom
Density of states at the Fermi level: 9.2 states/eV/cell
Total magnetic moment: 0.085 μB per atom
Crystal system: trigonal
Theoretical density: 3.5 g/cm³
Space-group type: No. 146
Formation energy without anion corrections: -2.60 eV per atom



Density functional theory data (SCAN) for a crystal of TiZnSnP3O12 relaxed with PBEsol.

POSCAR file:
```
TiZnSnP3O12
1.0
4.3470 2.5098 6.9404
-4.3470 2.5098 6.9404
0.0000 -5.0195 6.9404
Ti Zn Sn P O
2 2 2 6 24
direct
0.0000 0.0000 0.0000
0.5000 0.5000 0.5000
0.1409 0.1409 0.1409
0.6409 0.6409 0.6409
0.2886 0.2886 0.2886
0.7886 0.7886 0.7886
0.0974 0.3926 0.6938
0.1938 0.8926 0.5974
0.3926 0.6938 0.0974
0.5974 0.1938 0.8926
0.6938 0.0974 0.3926
0.8926 0.5974 0.1938
0.0415 0.8254 0.6284
0.0512 0.3991 0.2077
0.0837 0.2331 0.8881
0.1284 0.3254 0.5415
0.1453 0.9610 0.7545
0.2077 0.0512 0.3991
0.2331 0.8881 0.0837
0.2545 0.4610 0.6453
0.3254 0.5415 0.1284
0.3881 0.7331 0.5837
0.3991 0.2077 0.0512
0.4610 0.6453 0.2545
0.5415 0.1284 0.3254
0.5512 0.7077 0.8991
0.5837 0.3881 0.7331
0.6284 0.0415 0.8254
0.6453 0.2545 0.4610
0.7077 0.8991 0.5512
0.7331 0.5837 0.3881
0.7545 0.1453 0.9610
0.8254 0.6284 0.0415
0.8881 0.0837 0.2331
0.8991 0.5512 0.7077
0.9610 0.7545 0.1453
```

Calculated values
Calculated volume: 12.6 Å³/atom
Density of states at the Fermi level: 5.6 states/eV/cell
Total magnetic moment: 0.054 μB per atom
Crystal system: trigonal
Theoretical density: 3.8 g/cm³
Space-group type: No. 161
Formation energy without anion corrections: -2.37 eV per atom



Density functional theory data (SCAN) for a crystal of TlSnPO2 relaxed with PBEsol.

POSCAR file:
```
TlSnPO2
1.0
4.1571 0.0000 0.0000
0.0000 4.1571 0.0000
0.0000 0.0000 5.1782
Tl Sn P O
1 1 1 2
direct
0.0000 0.0000 0.0000
0.5000 0.5000 0.5000
0.0000 0.0000 0.5000
0.0000 0.5000 0.0000
0.5000 0.0000 0.0000
```

Calculated values
Calculated volume: 17.9 Å³/atom
Density of states at the Fermi level: 2.6 states/eV/cell
Total magnetic moment: 0.000 μB per atom
Crystal system: tetragonal
Theoretical density: 7.2 g/cm³
Space-group type: No. 123
Formation energy without anion corrections: 0.28 eV per atom



Density functional theory data (SCAN) for a crystal of V2SnP3O12 relaxed with PBEsol.

POSCAR file:
```
V2SnP3O12
1.0
4.2396 2.4477 7.4175
-4.2396 2.4477 7.4175
0.0000 -4.8955 7.4175
V Sn P O
4 2 6 24
direct
0.1474 0.1474 0.1474
0.3526 0.3526 0.3526
0.6474 0.6474 0.6474
0.8526 0.8526 0.8526
0.0000 0.0000 0.0000
0.5000 0.5000 0.5000
0.0352 0.7500 0.4648
0.2500 0.5352 0.9648
0.4648 0.0352 0.7500
0.5352 0.9648 0.2500
0.7500 0.4648 0.0352
0.9648 0.2500 0.5352
0.0087 0.7780 0.6345
0.0621 0.9268 0.2796
0.0732 0.7204 0.9379
0.1345 0.2780 0.5087
0.2204 0.5732 0.4379
0.2220 0.3655 0.9913
0.2780 0.5087 0.1345
0.2796 0.0621 0.9268
0.3655 0.9913 0.2220
0.4268 0.5621 0.7796
0.4379 0.2204 0.5732
0.4914 0.8655 0.7220
0.5087 0.1345 0.2780
0.5621 0.7796 0.4268
0.5732 0.4379 0.2204
0.6345 0.0086 0.7780
0.7204 0.9379 0.0732
0.7220 0.4913 0.8655
0.7780 0.6345 0.0086
0.7796 0.4268 0.5621
0.8655 0.7220 0.4913
0.9268 0.2796 0.0621
0.9379 0.0732 0.7204
0.9914 0.2220 0.3655
```

Calculated values
Calculated volume: 12.8 Å³/atom
Density of states at the Fermi level: 11.2 states/eV/cell
Total magnetic moment: 0.167 μB per atom
Crystal system: trigonal
Theoretical density: 3.6 g/cm³
Space-group type: No. 167
Formation energy without anion corrections: -2.41 eV per atom



Density functional theory data (SCAN) for a crystal of V5SnP6O24 relaxed with PBEsol.

POSCAR file:
```
V5SnP6O24
1.0
4.2866 2.4749 6.8226
-4.2866 2.4749 6.8226
0.0000 -4.9497 6.8226
V Sn P O
5 1 6 24
direct
0.0000 0.0000 0.0000
0.1388 0.1388 0.1388
0.5019 0.5019 0.5019
0.6424 0.6424 0.6424
0.7834 0.7834 0.7834
0.2856 0.2856 0.2856
0.0954 0.3940 0.6906
0.1844 0.8883 0.6024
0.3940 0.6906 0.0954
0.6024 0.1844 0.8883
0.6906 0.0954 0.3940
0.8883 0.6024 0.1844
0.0300 0.8175 0.6431
0.0485 0.3981 0.1969
0.0800 0.2336 0.8897
0.1253 0.3218 0.5392
0.1436 0.9611 0.7558
0.1969 0.0485 0.3981
0.2336 0.8897 0.0800
0.2561 0.4597 0.6414
0.3218 0.5392 0.1253
0.3884 0.7346 0.5819
0.3981 0.1969 0.0485
0.4597 0.6414 0.2561
0.5392 0.1253 0.3218
0.5510 0.7058 0.8942
0.5819 0.3884 0.7346
0.6414 0.2561 0.4597
0.6431 0.0300 0.8175
0.7059 0.8942 0.5510
0.7346 0.5819 0.3884
0.7558 0.1436 0.9611
0.8175 0.6431 0.0300
0.8897 0.0800 0.2336
0.8942 0.5510 0.7058
0.9611 0.7558 0.1436
```

Calculated values
Calculated volume: 12.1 Å³/atom
Density of states at the Fermi level: 16.5 states/eV/cell
Total magnetic moment: 0.306 μB per atom
Crystal system: trigonal
Theoretical density: 3.6 g/cm³
Space-group type: No. 146
Formation energy without anion corrections: -2.47 eV per atom



Density functional theory data (SCAN) for a crystal of VSnPO5 relaxed with PBEsol.

POSCAR file:
```
VSnPO5
1.0
5.2936 0.0000 0.0000
-0.6007 6.4293 0.0000
-1.9817 -2.8716 5.7578
V Sn P O
2 2 2 10
direct
0.1497 0.1262 0.2435
0.8503 0.8738 0.7565
0.4032 0.7079 0.9456
0.5968 0.2921 0.0544
0.1768 0.6893 0.3935
0.8232 0.3107 0.6065
0.0697 0.2588 0.5344
0.1050 0.4267 0.2169
0.2305 0.0026 0.9537
0.2327 0.8358 0.2696
0.4338 0.7380 0.6055
0.5662 0.2620 0.3945
0.7673 0.1642 0.7304
0.7695 0.9974 0.0463
0.8950 0.5733 0.7831
0.9303 0.7412 0.4656
```

Calculated values
Calculated volume: 12.2 Å³/atom
Density of states at the Fermi level: 0.2 states/eV/cell
Total magnetic moment: 0.250 μB per atom
Crystal system: triclinic
Theoretical density: 4.8 g/cm³
Space-group type: No. 2
Formation energy without anion corrections: -2.30 eV per atom



Density functional theory data (SCAN) for a crystal of Sn3P6WO24 relaxed with PBEsol.

POSCAR file:
```
Sn3P6WO24
1.0
4.2609 2.4600 7.5136
-4.2609 2.4600 7.5136
0.0000 -4.9201 7.5136
Sn P W O
3 6 1 24
direct
0.0000 0.0000 0.0000
0.2133 0.2133 0.2133
0.7076 0.7076 0.7076
0.1075 0.8212 0.3848
0.3193 0.6065 0.8937
0.3848 0.1075 0.8212
0.6065 0.8937 0.3193
0.8212 0.3848 0.1075
0.8937 0.3193 0.6065
0.4984 0.4984 0.4984
0.0865 0.2369 0.4700
0.1315 0.8294 0.1983
0.1536 0.9728 0.3624
0.1749 0.8107 0.8609
0.1983 0.1315 0.8294
0.2369 0.4700 0.0865
0.2676 0.6279 0.4528
0.3624 0.1536 0.9728
0.3643 0.5517 0.7291
0.4528 0.2676 0.6279
0.4700 0.0865 0.2369
0.5080 0.5827 0.8797
0.5427 0.9149 0.8210
0.5517 0.7291 0.3643
0.5827 0.8797 0.5080
0.6279 0.4528 0.2676
0.7291 0.3643 0.5517
0.8107 0.8609 0.1749
0.8210 0.5427 0.9149
0.8294 0.1983 0.1315
0.8609 0.1749 0.8107
0.8797 0.5080 0.5827
0.9149 0.8210 0.5427
0.9728 0.3624 0.1536
```

Calculated values
Calculated volume: 13.9 Å³/atom
Density of states at the Fermi level: 0.0 states/eV/cell
Total magnetic moment: 0.000 μB per atom
Crystal system: trigonal
Theoretical density: 3.9 g/cm³
Space-group type: No. 146
Formation energy without anion corrections: -2.26 eV per atom



Density functional theory data (SCAN) for a crystal of ZnSn3P4O14 relaxed with PBEsol.

POSCAR file:
```
ZnSn3P4O14
1.0
8.1922 0.0000 0.0000
0.0000 7.6609 0.0000
-2.2362 0.0000 9.5713
Zn Sn P O
2 6 8 28
direct
0.0000 0.0000 0.0000
0.0000 0.5000 0.5000
0.3040 0.1456 0.4741
0.3040 0.3544 0.9741
0.5000 0.0000 0.0000
0.5000 0.5000 0.5000
0.6960 0.6456 0.0259
0.6960 0.8544 0.5259
0.0557 0.0553 0.6984
0.0557 0.4447 0.1984
0.3138 0.7098 0.1738
0.3138 0.7902 0.6738
0.6862 0.2098 0.3262
0.6862 0.2902 0.8262
0.9443 0.5553 0.8016
0.9443 0.9447 0.3016
0.0985 0.0816 0.8581
0.0985 0.4184 0.3581
0.1303 0.6305 0.1706
0.1303 0.8695 0.6706
0.1311 0.5394 0.8617
0.1311 0.9606 0.3617
0.1403 0.1965 0.6270
0.1403 0.3035 0.1270
0.2704 0.6170 0.5959
0.2704 0.8830 0.0959
0.4002 0.5761 0.0939
0.4002 0.9239 0.5939
0.4152 0.7229 0.3226
0.4152 0.7771 0.8226
0.5848 0.2229 0.1774
0.5848 0.2771 0.6774
0.5998 0.0761 0.4061
0.5998 0.4239 0.9061
0.7296 0.1170 0.9041
0.7296 0.3830 0.4041
0.8597 0.6965 0.8730
0.8597 0.8035 0.3730
0.8689 0.0394 0.6383
0.8689 0.4606 0.1383
0.8697 0.1305 0.3294
0.8697 0.3695 0.8294
0.9015 0.5816 0.6419
0.9015 0.9184 0.1419
```

Calculated values
Calculated volume: 13.7 Å³/atom
Density of states at the Fermi level: 0.0 states/eV/cell
Total magnetic moment: 0.000 μB per atom
Crystal system: monoclinic
Theoretical density: 4.3 g/cm³
Space-group type: No. 14
Formation energy without anion corrections: -2.04 eV per atom



Density functional theory data (SCAN) for a crystal of SrP2O2 relaxed with PBEsol.

POSCAR file:
```
SrP2O2
1.0
7.0564 0.0000 0.0000
0.0000 7.0564 0.0000
0.0000 0.0000 3.6190
Sr P O
2 4 4
direct
0.0000 0.0000 0.0000
0.5000 0.5000 0.0000
0.1056 0.3944 0.0000
0.3944 0.8944 0.0000
0.6056 0.1056 0.0000
0.8944 0.6056 0.0000
0.1495 0.3505 0.5000
0.3505 0.8505 0.5000
0.6495 0.1495 0.5000
0.8505 0.6495 0.5000
```

Calculated values
Calculated volume: 18.0 Å³/atom
Density of states at the Fermi level: 2.7 states/eV/cell
Total magnetic moment: 0.000 μB per atom
Crystal system: tetragonal
Theoretical density: 3.3 g/cm³
Space-group type: No. 127
Formation energy without anion corrections: -0.86 eV per atom



Density functional theory data (SCAN) for a crystal of Sr2P6O17 relaxed with PBEsol.

POSCAR file:
```
Sr2P6O17
1.0
7.1803 0.0000 0.0000
0.0000 13.3720 0.0000
-1.9036 0.0000 6.9692
Sr P O
4 12 34
direct
0.1812 0.0000 0.3764
0.2164 0.2844 0.6723
0.7836 0.7844 0.3277
0.8188 0.5000 0.6236
0.0139 0.2197 0.1002
0.2451 0.5413 0.0251
0.2674 0.5109 0.4504
0.3173 0.7329 0.4985
0.3196 0.0341 0.8800
0.3398 0.8200 0.8845
0.6602 0.3200 0.1155
0.6804 0.5341 0.1200
0.6827 0.2329 0.5015
0.7326 0.0109 0.5496
0.7549 0.0413 0.9749
0.9861 0.7197 0.8998
0.0807 0.1781 0.2989
0.1065 0.4481 0.4828
0.1218 0.8158 0.8902
0.1468 0.2493 0.9853
0.1471 0.4762 0.8642
0.1546 0.6475 0.0322
0.1639 0.8088 0.4152
0.2085 0.6260 0.4633
0.2228 0.0217 0.0357
0.2411 0.0968 0.7057
0.2553 0.4945 0.2243
0.3488 0.9250 0.7843
0.3654 0.7401 0.7342
0.4586 0.5666 0.0230
0.4690 0.4899 0.5611
0.4798 0.8095 0.0719
0.4945 0.2303 0.5481
0.5055 0.7303 0.4519
0.5202 0.3095 0.9281
0.5310 0.9899 0.4389
0.5414 0.0666 0.9770
0.6346 0.2401 0.2658
0.6512 0.4250 0.2157
0.7447 0.9945 0.7757
0.7589 0.5968 0.2943
0.7772 0.5217 0.9643
0.7915 0.1260 0.5367
0.8361 0.3088 0.5848
0.8454 0.1475 0.9678
0.8532 0.7493 0.0147
0.8529 0.9762 0.1358
0.8782 0.3158 0.1098
0.8935 0.9481 0.5172
0.9193 0.6781 0.7011
```

Calculated values
Calculated volume: 13.4 Å³/atom
Density of states at the Fermi level: 0.0 states/eV/cell
Total magnetic moment: 0.000 μB per atom
Crystal system: monoclinic
Theoretical density: 3.1 g/cm³
Space-group type: No. 4
Formation energy without anion corrections: -2.64 eV per atom



Density functional theory data (SCAN) for a crystal of SrPO3 relaxed with PBEsol.

POSCAR file:
```
SrPO3
1.0
3.7700 0.0000 0.0000
0.0000 3.7700 0.0000
0.0000 0.0000 3.7700
Sr P O
1 1 3
direct
0.0000 0.0000 0.0000
0.5000 0.5000 0.5000
0.0000 0.5000 0.5000
0.5000 0.0000 0.5000
0.5000 0.5000 0.0000
```

Calculated values
Calculated volume: 10.7 Å³/atom
Density of states at the Fermi level: 0.7 states/eV/cell
Total magnetic moment: 0.000 μB per atom
Crystal system: cubic
Theoretical density: 5.2 g/cm³
Space-group type: No. 221
Formation energy without anion corrections: -2.16 eV per atom



Density functional theory data (SCAN) for a crystal of SrP2O6 relaxed with PBEsol.

POSCAR file:
```
SrP2O6
1.0
4.5045 0.0000 0.0000
0.0000 10.8970 0.0000
-0.3054 0.0000 10.3923
Sr P O
4 8 24
direct
0.0312 0.1921 0.0143
0.0312 0.3079 0.5143
0.9688 0.6921 0.4857
0.9688 0.8079 0.9857
0.0694 0.5132 0.7828
0.0694 0.9868 0.2828
0.4357 0.6523 0.2069
0.4357 0.8477 0.7069
0.5643 0.1523 0.2931
0.5643 0.3477 0.7931
0.9306 0.0132 0.7172
0.9306 0.4868 0.2172
0.0179 0.1230 0.6439
0.0179 0.3770 0.1439
0.0401 0.5135 0.6382
0.0401 0.9865 0.1382
0.0999 0.6112 0.1683
0.0999 0.8888 0.6683
0.3963 0.0270 0.3309
0.3963 0.4730 0.8309
0.4690 0.6734 0.3490
0.4690 0.8266 0.8490
0.4981 0.2476 0.8869
0.4981 0.2524 0.3869
0.5019 0.7476 0.6131
0.5019 0.7524 0.1131
0.5310 0.1734 0.1510
0.5310 0.3266 0.6510
0.6037 0.5270 0.1691
0.6037 0.9730 0.6691
0.9001 0.1112 0.3317
0.9001 0.3888 0.8317
0.9599 0.0135 0.8618
0.9599 0.4865 0.3618
0.9821 0.6230 0.8561
0.9821 0.8770 0.3561
```

Calculated values
Calculated volume: 14.2 Å³/atom
Density of states at the Fermi level: 0.0 states/eV/cell
Total magnetic moment: 0.000 μB per atom
Crystal system: monoclinic
Theoretical density: 3.2 g/cm³
Space-group type: No. 14
Formation energy without anion corrections: -2.79 eV per atom